Record 1
Compound: Ac6AlCd
Source: Alexandria
Functional: PBE-GGA
Structure: optimized geometry

Structure (CIF):
```
data_Ac6AlCd
_chemical_formula_sum 'Ac6 Al1 Cd1'
_symmetry_space_group_name_H-M 'P 1'
_symmetry_Int_Tables_number 1
_symmetry_space_group_name_Hall 'P 1'
_cell_length_a 5.683
_cell_length_b 5.683
_cell_length_c 10.422
_cell_angle_alpha 74.18
_cell_angle_beta 74.18
_cell_angle_gamma 90.00
loop_
_atom_site_label
_atom_site_fract_x
_atom_site_fract_y
_atom_site_fract_z
Ac1 0.751 0.751 0.497
Ac2 0.604 0.104 0.793
Ac3 0.104 0.604 0.793
Ac4 0.396 0.896 0.207
Ac5 0.249 0.249 0.503
Ac6 0.896 0.396 0.207
Al1 0.000 0.000 0.000
Cd1 0.500 0.500 0.000
```

Results
The spin magnetization comes out at 0.000 μB per atom. Its crystal system is tetragonal. The space group is No. 139.

***

Record 2
Compound: Ac3Al2Cd9
Source: Alexandria
Functional: PBE-GGA
Structure: optimized geometry

Structure (CIF):
```
data_Ac3Al2Cd9
_chemical_formula_sum 'Ac3 Al2 Cd9'
_symmetry_space_group_name_H-M 'P 1'
_symmetry_Int_Tables_number 1
_symmetry_space_group_name_Hall 'P 1'
_cell_length_a 9.142
_cell_length_b 9.142
_cell_length_c 9.142
_cell_angle_alpha 148.58
_cell_angle_beta 109.40
_cell_angle_gamma 79.31
loop_
_atom_site_label
_atom_site_fract_x
_atom_site_fract_y
_atom_site_fract_z
Ac1 0.000 0.000 0.000
Ac2 0.305 0.305 0.000
Ac3 0.695 0.695 0.000
Al1 0.302 0.500 0.802
Al2 0.698 0.500 0.198
Cd1 0.500 0.000 0.500
Cd2 0.980 0.343 0.637
Cd3 0.020 0.657 0.363
Cd4 0.707 0.343 0.363
Cd5 0.293 0.657 0.637
Cd6 0.855 0.136 0.719
Cd7 0.145 0.864 0.281
Cd8 0.417 0.136 0.281
Cd9 0.583 0.864 0.719
```

Results
The spin magnetization comes out at 0.000 μB per atom. Its crystal system is orthorhombic. The space group is No. 71.

***

Record 3
Compound: AcAl2Cd6
Source: Alexandria
Functional: PBE-GGA
Structure: optimized geometry

Structure (CIF):
```
data_AcAl2Cd6
_chemical_formula_sum 'Ac1 Al2 Cd6'
_symmetry_space_group_name_H-M 'P 1'
_symmetry_Int_Tables_number 1
_symmetry_space_group_name_Hall 'P 1'
_cell_length_a 4.601
_cell_length_b 4.601
_cell_length_c 9.924
_cell_angle_alpha 90.00
_cell_angle_beta 90.00
_cell_angle_gamma 90.00
loop_
_atom_site_label
_atom_site_fract_x
_atom_site_fract_y
_atom_site_fract_z
Ac1 0.000 0.000 0.000
Al1 0.500 0.500 0.130
Al2 0.500 0.500 0.870
Cd1 0.000 0.500 0.288
Cd2 0.500 0.000 0.288
Cd3 0.000 0.500 0.712
Cd4 0.500 0.000 0.712
Cd5 0.500 0.500 0.500
Cd6 0.000 0.000 0.500
```

Results
The spin magnetization comes out at 0.000 μB per atom. Its crystal system is tetragonal. The space group is No. 123.

***

Record 4
Compound: Ac3Al2Cd2
Source: Alexandria
Functional: PBE-GGA
Structure: optimized geometry

Structure (CIF):
```
data_Ac3Al2Cd2
_chemical_formula_sum 'Ac3 Al2 Cd2'
_symmetry_space_group_name_H-M 'P 1'
_symmetry_Int_Tables_number 1
_symmetry_space_group_name_Hall 'P 1'
_cell_length_a 4.385
_cell_length_b 6.612
_cell_length_c 9.072
_cell_angle_alpha 113.03
_cell_angle_beta 90.00
_cell_angle_gamma 109.37
loop_
_atom_site_label
_atom_site_fract_x
_atom_site_fract_y
_atom_site_fract_z
Ac1 0.305 0.611 0.349
Ac2 0.695 0.389 0.651
Ac3 0.500 0.000 0.000
Al1 0.806 0.613 0.062
Al2 0.194 0.387 0.938
Cd1 0.976 0.951 0.668
Cd2 0.024 0.049 0.332
```

Results
The spin magnetization comes out at 0.000 μB per atom. Its crystal system is monoclinic. The space group is No. 12.

***

Record 5
Compound: Ac12AlCd6
Source: Alexandria
Functional: PBE-GGA
Structure: optimized geometry

Structure (CIF):
```
data_Ac12AlCd6
_chemical_formula_sum 'Ac12 Al1 Cd6'
_symmetry_space_group_name_H-M 'P 1'
_symmetry_Int_Tables_number 1
_symmetry_space_group_name_Hall 'P 1'
_cell_length_a 9.791
_cell_length_b 9.791
_cell_length_c 9.791
_cell_angle_alpha 110.80
_cell_angle_beta 110.80
_cell_angle_gamma 110.80
loop_
_atom_site_label
_atom_site_fract_x
_atom_site_fract_y
_atom_site_fract_z
Ac1 0.806 0.670 0.529
Ac2 0.529 0.806 0.670
Ac3 0.670 0.529 0.806
Ac4 0.194 0.330 0.471
Ac5 0.471 0.194 0.330
Ac6 0.330 0.471 0.194
Ac7 0.911 0.830 0.267
Ac8 0.170 0.733 0.089
Ac9 0.733 0.089 0.170
Ac10 0.089 0.170 0.733
Ac11 0.830 0.267 0.911
Ac12 0.267 0.911 0.830
Al1 0.000 0.000 0.000
Cd1 0.641 0.936 0.418
Cd2 0.582 0.359 0.064
Cd3 0.064 0.582 0.359
Cd4 0.359 0.064 0.582
Cd5 0.418 0.641 0.936
Cd6 0.936 0.418 0.641
```

Results
The spin magnetization comes out at 0.000 μB per atom. Its crystal system is trigonal. The space group is No. 148.

***

Record 6
Compound: Ac3Al2Cd
Source: Alexandria
Functional: PBE-GGA
Structure: optimized geometry

Structure (CIF):
```
data_Ac3Al2Cd
_chemical_formula_sum 'Ac3 Al2 Cd1'
_symmetry_space_group_name_H-M 'P 1'
_symmetry_Int_Tables_number 1
_symmetry_space_group_name_Hall 'P 1'
_cell_length_a 3.954
_cell_length_b 3.954
_cell_length_c 12.230
_cell_angle_alpha 90.00
_cell_angle_beta 90.00
_cell_angle_gamma 90.00
loop_
_atom_site_label
_atom_site_fract_x
_atom_site_fract_y
_atom_site_fract_z
Ac1 0.000 0.000 0.000
Ac2 0.000 0.000 0.677
Ac3 0.000 0.000 0.323
Al1 0.500 0.500 0.835
Al2 0.500 0.500 0.165
Cd1 0.500 0.500 0.500
```

Results
The spin magnetization comes out at 0.000 μB per atom. Its crystal system is tetragonal. Its energy relative to the lowest polymorph listed for this composition is 0 meV/atom. The space group is No. 123.

***

The following formation enthalpy at 0 K values (in meV per atom) correspond, in order, to the records above: -118.9, -256.2, -165.3, -286.2, -65.1, -245.0.